## CoSe2O5 (PBE+U)

Data for an optimized crystal structure of CoSe2O5.

Properties
The calculation puts the total energy at -0.201 Ha/atom. The density of states at the Fermi level comes out at 0.0 states/eV per cell.

a = 6.983 Å, b = 10.518 Å, c = 6.138 Å
α = 90.00°, β = 90.00°, γ = 90.00°
Positions (direct):
Co  0.000  0.065  0.250
Co  0.000  0.935  0.750
Co  0.500  0.435  0.750
Co  0.500  0.565  0.250
Se  0.137  0.347  0.036
Se  0.137  0.653  0.536
Se  0.363  0.153  0.536
Se  0.363  0.847  0.036
Se  0.637  0.153  0.964
Se  0.637  0.847  0.464
Se  0.863  0.347  0.464
Se  0.863  0.653  0.964
O  0.000  0.435  0.250
O  0.000  0.565  0.750
O  0.155  0.066  0.552
O  0.155  0.934  0.052
O  0.196  0.210  0.170
O  0.196  0.790  0.670
O  0.304  0.290  0.670
O  0.304  0.710  0.170
O  0.345  0.434  0.052
O  0.345  0.566  0.552
O  0.500  0.065  0.750
O  0.500  0.935  0.250
O  0.655  0.434  0.448
O  0.655  0.566  0.948
O  0.696  0.290  0.830
O  0.696  0.710  0.330
O  0.804  0.210  0.330
O  0.804  0.790  0.830
O  0.845  0.066  0.948
O  0.845  0.934  0.448